# 1
Computed, not measured: an optimized crystal structure of LaP2H at the PBE-GGA level of DFT.

Computed properties:
- N(E_F): 5.56 states/eV/cell
- Energy relative to the lowest polymorph listed for this composition: 2.33 eV per formula unit
- Symmetry: No. 225
- Density: 4.335 Mg/m³

a = 4.7821 Å, b = 4.7821 Å, c = 4.7821 Å
α = 60.00°, β = 60.00°, γ = 60.00°
Site moments in Bohr magnetons follow the coordinates.
Positions (direct):
La 0.5000 0.5000 0.5000  0.01
H 0.0000 0.0000 0.0000  0.14
P 0.2500 0.2500 0.2500  -0.01
P 0.7500 0.7500 0.7500  -0.01



# 2
Computed, not measured: an optimized crystal structure of CaPr2B2O6 at the PBE-GGA level of DFT.

Computed properties:
- N(E_F): 0.61 states/eV/cell
- Symmetry: No. 147
- Density: 4.895 Mg/m³
- Total DFT energy (no corrections): -7.51 eV per atom

a = 5.4448 Å, b = 5.4448 Å, c = 5.8076 Å
α = 90.00°, β = 90.00°, γ = 120.00°
Site moments in Bohr magnetons follow the coordinates.
Positions (direct):
O 0.1224 0.3822 0.2629  0.05
Pr 0.6667 0.3333 0.3352  0.17
O 0.2598 0.8776 0.2629  0.05
O 0.7402 0.1224 0.7371  0.05
O 0.3822 0.2598 0.7371  0.05
Pr 0.3333 0.6667 0.6648  0.17
Ca 0.0000 0.0000 0.0000  0.01
O 0.6178 0.7402 0.2629  0.05
O 0.8776 0.6178 0.7371  0.05
B 0.6667 0.3333 0.8100  0.17
B 0.3333 0.6667 0.1900  0.17



# 3
Computed, not measured: an optimized crystal structure of DyEr3N4 at the PBE-GGA level of DFT.

Computed properties:
- N(E_F): 0.71 states/eV/cell
- Symmetry: No. 13
- Density: 10.392 Mg/m³
- Total DFT energy (no corrections): -8.21 eV per atom

a = 5.9565 Å, b = 5.9566 Å, c = 6.8812 Å
α = 90.00°, β = 90.00°, γ = 109.46°
Positions (direct):
Er 0.7500 0.5000 0.6246
Dy 0.7500 0.0000 0.8745
N 0.9988 0.7494 0.3761
N 0.9997 0.2521 0.1262
N 0.0003 0.7479 0.8738
N 0.5003 0.7479 0.1262
Er 0.2500 0.5000 0.3754
Er 0.7500 0.5000 0.1255
N 0.0012 0.2506 0.6239
Er 0.2500 0.5000 0.8745
N 0.4988 0.7494 0.6239
Dy 0.2500 0.0000 0.1255
N 0.4997 0.2521 0.8738
N 0.5012 0.2506 0.3761
Er 0.2500 0.0000 0.6246
Er 0.7500 0.0000 0.3754



# 4
Computed, not measured: an optimized crystal structure of Li2Mg3In4 at the PBE-GGA level of DFT.

Computed properties:
- N(E_F): 2.51 states/eV/cell
- Energy relative to the elements: -1.45 eV/f.u.
- Symmetry: No. 2
- Density: 4.569 Mg/m³

a = 4.4095 Å, b = 5.4250 Å, c = 9.6260 Å
α = 72.95°, β = 90.20°, γ = 65.63°
Positions (direct):
In 0.6616 0.6755 0.8859
Li 0.6680 0.6641 0.2150
In 0.9849 0.0276 0.6655
Mg 0.0000 0.0000 0.0000
In 0.3384 0.3245 0.1141
Mg 0.3340 0.3334 0.4359
Mg 0.6660 0.6666 0.5641
In 0.0151 0.9724 0.3345
Li 0.3320 0.3359 0.7850



# 5
Computed, not measured: an optimized crystal structure of LiPRu at the PBE-GGA level of DFT.

Computed properties:
- N(E_F): 1.84 states/eV/cell
- Energy relative to the elements: -1.47 eV/f.u.
- Symmetry: No. 216
- Density: 5.633 Mg/m³

a = 3.8695 Å, b = 3.8695 Å, c = 3.8695 Å
α = 60.00°, β = 60.00°, γ = 60.00°
Positions (direct):
Li 0.5000 0.5000 0.5000
P 0.7500 0.7500 0.7500
Ru 0.0000 0.0000 0.0000



# 6
Computed, not measured: an optimized crystal structure of Li2NiPd5 at the PBE-GGA level of DFT.

Computed properties:
- N(E_F): 6.93 states/eV/cell
- Energy relative to the elements: -1.77 eV/f.u.
- Symmetry: No. 107
- Density: 8.852 Mg/m³

a = 5.2999 Å, b = 5.3000 Å, c = 5.3007 Å
α = 106.23°, β = 106.23°, γ = 116.16°
Site moments in Bohr magnetons follow the coordinates.
Positions (direct):
Li 0.2778 0.7780 0.5000  0.00
Pd 0.7778 0.2781 0.0000  0.03
Pd 0.2773 0.2770 0.0000  0.03
Pd 0.2780 0.2783 0.5005  0.03
Li 0.7778 0.2780 0.5000  0.00
Ni 0.7786 0.7784 0.0000  0.32
Pd 0.2783 0.7775 0.0000  0.03
Pd 0.7775 0.7778 0.4995  0.03